No. 1
# Pr2CuF8

A geometry-optimized Pr2CuF8 structure (PBE, Alexandria via LeMat-Bulk).

Cell lengths 7.273, 7.273, 5.313 Å; angles 108.30, 108.30, 32.11 degrees
Sites, in units of the cell vectors:
Pr: 0.164 0.164 0.165
Pr: 0.836 0.836 0.835
Cu: 0.500 0.500 0.500
F: 0.023 0.023 0.764
F: 0.220 0.220 0.632
F: 0.333 0.333 0.106
F: 0.408 0.408 0.687
F: 0.592 0.592 0.313
F: 0.667 0.667 0.894
F: 0.780 0.780 0.368
F: 0.977 0.977 0.236

Computed properties:
**E_form (uncorrected)**: -3.29 eV/atom
**M_tot**: 1.00 μB/f.u.
**Symmetry**: No. 12
**Final energy**: -5.894 eV per atom

No. 2
# BeTeBr

A geometry-optimized BeTeBr structure (PBE, Alexandria via LeMat-Bulk).

Cell lengths 8.142, 8.142, 8.142 Å; angles 157.60, 153.77, 34.76 degrees
Sites, in units of the cell vectors:
Be: 0.000 0.000 0.000
Te: 0.579 0.579 0.000
Br: 0.869 0.869 0.000

Computed properties:
**E_form (uncorrected)**: -0.16 eV/atom
**M_tot**: 0.00 μB/f.u.
**Symmetry**: No. 44
**Final energy**: -3.002 eV per atom

No. 3
# Ta2ReSb

A geometry-optimized Ta2ReSb structure (PBE, Alexandria via LeMat-Bulk).

Cell lengths 4.810, 4.810, 3.245 Å; angles 90.12, 90.12, 106.58 degrees
Sites, in units of the cell vectors:
Ta: 0.000 0.500 0.000
Ta: 0.500 0.000 0.000
Re: 0.000 0.000 0.500
Sb: 0.500 0.500 0.500

Computed properties:
**E_form (uncorrected)**: 0.13 eV/atom
**M_tot**: 0.00 μB/f.u.
**Symmetry**: No. 12
**Final energy**: -9.934 eV per atom